DFT (GGA+U) results for a geometry-optimized Li7Mn2Co3O12 structure.

a b c (Å): 7.780 7.780 9.828
angles (deg): 79.99 79.99 21.50
Fractional positions:
Li (0.918, 0.918, 0.752)
Li (0.082, 0.082, 0.248)
Li (0.248, 0.248, 0.743)
Li (0.574, 0.574, 0.757)
Li (0.752, 0.752, 0.257)
Li (0.426, 0.426, 0.243)
Li (0.000, 0.000, 0.000)
Mn (0.338, 0.338, 0.997)
Mn (0.662, 0.662, 0.003)
Co (0.500, 0.500, 0.500)
Co (0.834, 0.834, 0.497)
Co (0.166, 0.166, 0.503)
O (0.790, 0.790, 0.893)
O (0.960, 0.960, 0.381)
O (0.132, 0.132, 0.890)
O (0.446, 0.446, 0.883)
O (0.627, 0.627, 0.388)
O (0.293, 0.293, 0.383)
O (0.040, 0.040, 0.619)
O (0.210, 0.210, 0.107)
O (0.373, 0.373, 0.612)
O (0.707, 0.707, 0.617)
O (0.868, 0.868, 0.110)
O (0.554, 0.554, 0.117)

Properties
* density of states at the Fermi level: 2.885 states/eV/f.u.
* relative energy among the computed polymorphs: 49 meV/atom